Record 1
Here is Er3TlRu after structural relaxation from Alexandria via LeMat-Bulk. Energies are from PBE-GGA.

Properties
Energy relative to the elements = -0.29 eV/atom
ΔE to the lowest computed polymorph = 0.0809 eV/atom

a = 5.257 Å, b = 6.923 Å, c = 8.496 Å
α = 112.48°, β = 90.00°, γ = 112.31°
Atoms (fractional coordinates):
Er1 0.218 0.436 0.727
Tl1 0.627 0.255 0.496
Er2 0.073 0.147 0.230
Ru1 0.824 0.649 0.984
Tl2 0.373 0.745 0.504
Ru2 0.176 0.351 0.016
Er3 0.407 0.815 0.126
Er4 0.927 0.853 0.770
Er5 0.593 0.185 0.874
Er6 0.782 0.564 0.273

---

Record 2
Here is GdCrB4 after structural relaxation from Alexandria via LeMat-Bulk. Energies are from PBE-GGA.

Properties
Energy relative to the elements = -0.63 eV/atom

a = 3.468 Å, b = 5.951 Å, c = 11.505 Å
α = 90.00°, β = 90.00°, γ = 90.00°
Site moments in Bohr magnetons follow the coordinates.
Atoms (fractional coordinates):
B1 0.500 0.638 0.533  -0.01
B2 0.500 0.779 0.183  -0.01
Gd1 0.000 0.124 0.151  6.95
Gd2 0.000 0.624 0.349  6.95
Cr1 0.000 0.621 0.079  0.00
B3 0.500 0.475 0.191  -0.01
B4 0.500 0.525 0.809  -0.01
Gd3 0.000 0.876 0.849  6.95
B5 0.500 0.862 0.033  -0.01
Cr2 0.000 0.121 0.421  0.00
Cr3 0.000 0.379 0.921  0.00
B6 0.500 0.221 0.817  -0.01
B7 0.500 0.279 0.317  -0.01
B8 0.500 0.975 0.309  -0.01
B9 0.500 0.887 0.454  -0.01
Cr4 0.000 0.879 0.579  0.00
B10 0.500 0.721 0.683  -0.01
B11 0.500 0.113 0.546  -0.01
B12 0.500 0.138 0.967  -0.01
B13 0.500 0.362 0.467  -0.01
B14 0.500 0.387 0.046  -0.01
B15 0.500 0.613 0.954  -0.01
B16 0.500 0.025 0.691  -0.01
Gd4 0.000 0.376 0.651  6.95

---

Record 3
Here is Li2FeAs2Pd after structural relaxation from Alexandria via LeMat-Bulk. Energies are from PBE-GGA.

Properties
Energy relative to the elements = -0.50 eV/atom

a = 5.606 Å, b = 5.564 Å, c = 7.258 Å
α = 112.54°, β = 112.72°, γ = 90.00°
Site moments in Bohr magnetons follow the coordinates.
Atoms (fractional coordinates):
Li1 0.929 0.663 0.326  0.00
As1 0.831 0.119 0.238  0.00
As2 0.592 0.381 0.762  0.00
Li2 0.071 0.337 0.674  0.00
Li3 0.603 0.837 0.674  0.00
Pd1 0.000 0.250 0.000  0.03
Fe1 0.500 0.250 0.000  0.30
Li4 0.397 0.163 0.326  0.00
Pd2 0.000 0.750 0.000  0.03
Fe2 0.500 0.750 0.000  0.30
As3 0.169 0.881 0.762  0.00
As4 0.408 0.619 0.238  0.00

---

Record 4
Here is LaTb2ScSe6 after structural relaxation from Alexandria via LeMat-Bulk. Energies are from PBE-GGA.

Properties
Energy relative to the elements, uncorrected = -1819 meV per atom

a = 7.239 Å, b = 7.239 Å, c = 7.687 Å
α = 61.90°, β = 61.90°, γ = 59.99°
Atoms (fractional coordinates):
Sc1 0.322 0.322 0.034
Se1 0.714 0.135 0.756
Se2 0.223 0.937 0.247
Tb1 0.012 0.012 0.965
Se3 0.937 0.593 0.247
Se4 0.395 0.714 0.756
Se5 0.593 0.223 0.247
Tb2 0.519 0.519 0.442
La1 0.811 0.811 0.566
Se6 0.135 0.396 0.756

---

Record 5
Here is NbPt3S after structural relaxation from Alexandria via LeMat-Bulk. Energies are from PBE-GGA.

Properties
Energy relative to the elements, uncorrected = 1325 meV per atom
ΔE to the lowest computed polymorph = 0.9035 eV/atom

a = 4.885 Å, b = 4.885 Å, c = 4.885 Å
α = 90.00°, β = 90.00°, γ = 90.00°
Atoms (fractional coordinates):
Pt1 0.000 0.500 0.000
S1 0.500 0.500 0.500
Pt2 0.000 0.000 0.500
Pt3 0.500 0.000 0.000
Nb1 0.000 0.000 0.000

---

Record 6
Here is CeSnP after structural relaxation from Alexandria via LeMat-Bulk. Energies are from PBE-GGA.

Properties
Energy relative to the elements = -0.32 eV/atom

a = 5.603 Å, b = 3.659 Å, c = 8.207 Å
α = 102.88°, β = 109.96°, γ = 90.00°
Site moments in Bohr magnetons follow the coordinates.
Atoms (fractional coordinates):
P1 0.693 0.500 0.000  0.00
Sn1 0.642 0.142 0.285  0.00
Ce1 0.145 0.645 0.290  0.29
Sn2 0.358 0.858 0.715  0.00
P2 0.307 0.500 0.000  0.00
Ce2 0.855 0.355 0.710  0.29

---

no.,VASP energy (Ry/atom),density of states at the Fermi level (states/eV/atom)
1,-0.3940,0.72
2,-0.6640,0.07
3,-0.3651,0.71
4,-0.4382,0.00
5,-0.3777,1.27
6,-0.3998,1.66